(1)
A plane-wave DFT calculation with PBE was carried out for a relaxed structure of KTi2Ag.

Calculated values
Excess energy over the best structure of this formula in the dataset (eV/f.u.): 0.00

Cell and atoms, written as CIF:
```
data_KTi2Ag
_space_group_name_H-M_alt 'I -4 2 d'
_space_group_IT_number 122
_space_group_name_Hall 'I -4 2bw'
_cell_length_a 4.137
_cell_length_b 4.137
_cell_length_c 22.255
_cell_angle_alpha 90.00
_cell_angle_beta 90.00
_cell_angle_gamma 90.00
loop_
_atom_site_label
_atom_site_fract_x
_atom_site_fract_y
_atom_site_fract_z
K1 0.000 0.000 0.000
Ti1 0.204 0.750 0.625
Ag1 0.000 0.000 0.500
```

(2)
A plane-wave DFT calculation with PBE was carried out for a relaxed structure of Na2ZnS2.

Calculated values
Formation energy (no corrections) (eV per atom): -0.96

Cell and atoms, written as CIF:
```
data_Na2ZnS2
_space_group_name_H-M_alt 'P b c a'
_space_group_IT_number 61
_cell_length_a 6.609
_cell_length_b 18.814
_cell_length_c 7.358
_cell_angle_alpha 90.00
_cell_angle_beta 90.00
_cell_angle_gamma 90.00
loop_
_space_group_symop_operation_xyz
'x,y,z'
'-x,-y,-z'
'-x+1/2,-y,z+1/2'
'x+1/2,y,-z+1/2'
'x+1/2,-y+1/2,-z'
'-x+1/2,y+1/2,z'
'-x,y+1/2,-z+1/2'
'x,-y+1/2,z+1/2'
loop_
_atom_site_label
_atom_site_fract_x
_atom_site_fract_y
_atom_site_fract_z
Na1 0.005 0.064 0.195
Na2 0.197 0.702 0.062
Zn1 0.118 0.091 0.637
S1 0.219 0.554 0.894
S2 0.223 0.167 0.422
```

(3)
A plane-wave DFT calculation with PBE was carried out for a relaxed structure of La7Pr3.

Calculated values
Excess energy over the best structure of this formula in the dataset (eV/f.u.): 0.45

Cell and atoms, written as CIF:
```
data_La7Pr3
_space_group_name_H-M_alt 'P 63 m c'
_space_group_IT_number 186
_space_group_name_Hall 'P 6c -2c'
_cell_length_a 11.4693
_cell_length_b 11.4693
_cell_length_c 6.4443
_cell_angle_alpha 90.00
_cell_angle_beta 90.00
_cell_angle_gamma 120.00
loop_
_atom_site_label
_atom_site_fract_x
_atom_site_fract_y
_atom_site_fract_z
La1 0.0585 0.5292 0.0000
La2 0.1161 0.2323 0.1318
La3 0.3333 0.6667 0.1921
Pr1 0.2174 0.4349 0.6143
```

(4)
A plane-wave DFT calculation with PBE was carried out for a relaxed structure of Sc3Zn2Hg6.

Cell and atoms, written as CIF:
```
data_Sc3Zn2Hg6
_space_group_name_H-M_alt 'I 4/m m m'
_space_group_IT_number 139
_space_group_name_Hall '-I 4 2'
_cell_length_a 4.146
_cell_length_b 4.146
_cell_length_c 29.227
_cell_angle_alpha 90.00
_cell_angle_beta 90.00
_cell_angle_gamma 90.00
loop_
_atom_site_label
_atom_site_fract_x
_atom_site_fract_y
_atom_site_fract_z
Sc1 0.000 0.000 0.000
Sc2 0.000 0.000 0.166
Zn1 0.000 0.000 0.359
Hg1 0.000 0.000 0.270
Hg2 0.000 0.500 0.074
```

(5)
A plane-wave DFT calculation with PBE was carried out for a relaxed structure of Cs4Rb3CdH8.

Cell and atoms, written as CIF:
```
data_Cs4Rb3CdH8
_space_group_name_H-M_alt 'C 1 2/m 1'
_space_group_IT_number 12
_cell_length_a 14.883
_cell_length_b 8.413
_cell_length_c 8.488
_cell_angle_alpha 90.00
_cell_angle_beta 124.57
_cell_angle_gamma 90.00
loop_
_space_group_symop_operation_xyz
'x,y,z'
'-x,-y,-z'
'-x,y,-z'
'x,-y,z'
'x+1/2,y+1/2,z'
'-x+1/2,-y+1/2,-z'
'-x+1/2,y+1/2,-z'
'x+1/2,-y+1/2,z'
loop_
_atom_site_label
_atom_site_fract_x
_atom_site_fract_y
_atom_site_fract_z
Cs1 0.000 0.000 0.000
Cs2 0.000 0.500 0.000
Cs3 0.250 0.250 0.000
Rb1 0.000 0.000 0.500
Rb2 0.250 0.250 0.500
Cd1 0.000 0.500 0.500
H1 0.002 0.323 0.328
H2 0.243 0.000 0.730
H3 0.247 0.000 0.259
```

(6)
A plane-wave DFT calculation with PBE was carried out for a relaxed structure of BeReOF2.

Calculated values
Excess energy over the best structure of this formula in the dataset (eV/f.u.): 0.00
Formation energy (no corrections) (eV per atom): -1.17

Cell and atoms, written as CIF:
```
data_BeReOF2
_space_group_name_H-M_alt 'P 4/m m m'
_space_group_IT_number 123
_space_group_name_Hall '-P 4 2'
_cell_length_a 3.100
_cell_length_b 3.100
_cell_length_c 6.967
_cell_angle_alpha 90.00
_cell_angle_beta 90.00
_cell_angle_gamma 90.00
loop_
_atom_site_label
_atom_site_fract_x
_atom_site_fract_y
_atom_site_fract_z
Be1 0.000 0.000 0.000
Re1 0.500 0.500 0.500
O1 0.000 0.000 0.500
F1 0.000 0.500 0.000
```

(7)
A plane-wave DFT calculation with PBE was carried out for a relaxed structure of CeNdTeIr.

Calculated values
Formation energy (no corrections) (eV per atom): -1.02

Cell and atoms, written as CIF:
```
data_CeNdTeIr
_space_group_name_H-M_alt 'R 3 m'
_space_group_IT_number 160
_space_group_name_Hall 'R 3 -2"'
_cell_length_a 4.1610
_cell_length_b 4.1610
_cell_length_c 22.8908
_cell_angle_alpha 90.00
_cell_angle_beta 90.00
_cell_angle_gamma 120.00
loop_
_atom_site_label
_atom_site_fract_x
_atom_site_fract_y
_atom_site_fract_z
Ce1 0.0000 0.0000 0.0000
Nd1 0.0000 0.0000 0.1956
Te1 0.0000 0.0000 0.4300
Ir1 0.0000 0.0000 0.6034
```

(8)
A plane-wave DFT calculation with PBE was carried out for a relaxed structure of Cd2PRh.

Cell and atoms, written as CIF:
```
data_Cd2PRh
_space_group_name_H-M_alt 'P 4/m m m'
_space_group_IT_number 123
_space_group_name_Hall '-P 4 2'
_cell_length_a 4.147
_cell_length_b 4.147
_cell_length_c 4.054
_cell_angle_alpha 90.00
_cell_angle_beta 90.00
_cell_angle_gamma 90.00
loop_
_atom_site_label
_atom_site_fract_x
_atom_site_fract_y
_atom_site_fract_z
Cd1 0.000 0.500 0.000
P1 0.000 0.000 0.500
Rh1 0.500 0.500 0.500
```

How do the records compare in raw total energy? In the order shown, they have -3.965 -3.392 -4.768 -2.195 -2.161 -6.148 -6.694 -3.526 eV/atom.
How do the records compare in Fermi-level density of states? In the order shown, they have 14.651 0.000 33.840 20.025 4.588 1.706 16.699 2.277 states/eV/cell.